1.
Here is crystalline CdNiAg2F6 at its relaxed geometry from the Alexandria database. Energies are from PBE+U.

Properties
The value obtained for the total DFT energy (no corrections) is -74.7 eV per cell.

a b c (Å): 5.774 5.912 10.048
angles (deg): 90.00 124.64 90.00
Space group P2_1/c (No. 14)
Symmetry-distinct sites (fractional):
1 Cd 0.000 0.000 0.000 [2 per cell]
2 Ni 0.500 0.000 0.500 [2 per cell]
3 Ag 0.265 0.055 0.749 [4 per cell]
4 F 0.159 0.033 0.266 [4 per cell]
5 F 0.275 0.694 0.056 [4 per cell]
6 F 0.368 0.219 0.056 [4 per cell]

2.
Here is crystalline CdNiAgF6 at its relaxed geometry from the Alexandria database. Energies are from PBE+U.

Properties
The value obtained for the total DFT energy (no corrections) is -67.2 eV per cell.

a b c (Å): 5.5911 5.5911 9.2918
angles (deg): 90.00 90.00 120.00
Space group P-31c (No. 163)
Symmetry-distinct sites (fractional):
1 Cd 0.3333 0.6667 0.2500 [2 per cell]
2 Ni 0.3333 0.6667 0.7500 [2 per cell]
3 Ag 0.0000 0.0000 0.0000 [2 per cell]
4 F 0.0342 0.3621 0.6319 [12 per cell]